A relaxed structure of Cu3HgO, computed with PBE.

Cell and atoms, written as CIF:
```
data_Cu3HgO
_space_group_name_H-M_alt 'P m -3 m'
_space_group_IT_number 221
_space_group_name_Hall '-P 4 2 3'
_cell_length_a 4.103
_cell_length_b 4.103
_cell_length_c 4.103
_cell_angle_alpha 90.00
_cell_angle_beta 90.00
_cell_angle_gamma 90.00
loop_
_atom_site_label
_atom_site_type_symbol
_atom_site_fract_x
_atom_site_fract_y
_atom_site_fract_z
Cu1 Cu 0.000 0.000 0.500
Hg1 Hg 0.500 0.500 0.500
O1 O 0.000 0.000 0.000
```

* energy relative to the elements, uncorrected: -21 meV per atom
* DFT total energy: -3.531 eV per atom
* total magnetic moment: 0.00 μB/f.u.
* energy above the most stable polymorph in this dataset: 0 meV per atom

=====

A relaxed structure of Mg2FeAg, computed with PBE.

Cell and atoms, written as CIF:
```
data_Mg2FeAg
_space_group_name_H-M_alt 'I m m 2'
_space_group_IT_number 44
_cell_length_a 3.049
_cell_length_b 4.692
_cell_length_c 9.714
_cell_angle_alpha 90.00
_cell_angle_beta 90.00
_cell_angle_gamma 90.00
loop_
_space_group_symop_operation_xyz
'x,y,z'
'-x,-y,z'
'-x,y,z'
'x,-y,z'
'x+1/2,y+1/2,z+1/2'
'-x+1/2,-y+1/2,z+1/2'
'-x+1/2,y+1/2,z+1/2'
'x+1/2,-y+1/2,z+1/2'
loop_
_atom_site_label
_atom_site_type_symbol
_atom_site_fract_x
_atom_site_fract_y
_atom_site_fract_z
Mg1 Mg 0.000 0.000 0.000
Mg2 Mg 0.000 0.500 0.220
Fe1 Fe 0.000 0.000 0.484
Ag1 Ag 0.000 0.500 0.753
```

* DFT total energy: -3.479 eV per atom
* total magnetic moment: 2.41 μB/f.u.
* energy of formation: 146 meV per atom

=====

A relaxed structure of PrCoAu, computed with PBE.

Cell and atoms, written as CIF:
```
data_PrCoAu
_space_group_name_H-M_alt 'C m c m'
_space_group_IT_number 63
_space_group_name_Hall '-C 2c 2'
_cell_length_a 3.981
_cell_length_b 16.392
_cell_length_c 3.932
_cell_angle_alpha 90.00
_cell_angle_beta 90.00
_cell_angle_gamma 90.00
loop_
_atom_site_label
_atom_site_type_symbol
_atom_site_fract_x
_atom_site_fract_y
_atom_site_fract_z
Pr1 Pr 0.000 0.107 0.250
Co1 Co 0.000 0.467 0.250
Au1 Au 0.000 0.301 0.250
```

* DFT total energy: -5.424 eV per atom
* total magnetic moment: 0.76 μB/f.u.
* energy of formation: -369 meV per atom

=====

A relaxed structure of NdMgSi2Ni2, computed with PBE.

Cell and atoms, written as CIF:
```
data_NdMgSi2Ni2
_space_group_name_H-M_alt 'P -3 m 1'
_space_group_IT_number 164
_space_group_name_Hall '-P 3 2"'
_cell_length_a 4.0945
_cell_length_b 4.0945
_cell_length_c 6.8615
_cell_angle_alpha 90.00
_cell_angle_beta 90.00
_cell_angle_gamma 120.00
loop_
_atom_site_label
_atom_site_type_symbol
_atom_site_fract_x
_atom_site_fract_y
_atom_site_fract_z
Nd1 Nd 0.0000 0.0000 0.0000
Mg1 Mg 0.0000 0.0000 0.5000
Si1 Si 0.3333 0.6667 0.2927
Ni1 Ni 0.3333 0.6667 0.6620
```

* energy relative to the elements, uncorrected: -627 meV per atom
* DFT total energy: -5.422 eV per atom
* total magnetic moment: 0.00 μB/f.u.

=====

A relaxed structure of GaCuGe, computed with PBE.

Cell and atoms, written as CIF:
```
data_GaCuGe
_space_group_name_H-M_alt 'P 1 21/m 1'
_space_group_IT_number 11
_cell_length_a 3.100
_cell_length_b 5.470
_cell_length_c 5.821
_cell_angle_alpha 90.00
_cell_angle_beta 102.45
_cell_angle_gamma 90.00
loop_
_space_group_symop_operation_xyz
'x,y,z'
'-x,-y,-z'
'-x,y+1/2,-z'
'x,-y+1/2,z'
loop_
_atom_site_label
_atom_site_type_symbol
_atom_site_fract_x
_atom_site_fract_y
_atom_site_fract_z
Ga1 Ga 0.133 0.250 0.292
Cu1 Cu 0.500 0.000 0.000
Ge1 Ge 0.108 0.750 0.295
```

* DFT total energy: -3.820 eV per atom
* total magnetic moment: 0.00 μB/f.u.
* energy of formation: 94 meV per atom

=====

A relaxed structure of BeCrN2, computed with PBE.

Cell and atoms, written as CIF:
```
data_BeCrN2
_space_group_name_H-M_alt 'I -4 2 d'
_space_group_IT_number 122
_space_group_name_Hall 'I -4 2bw'
_cell_length_a 4.172
_cell_length_b 4.172
_cell_length_c 8.499
_cell_angle_alpha 90.00
_cell_angle_beta 90.00
_cell_angle_gamma 90.00
loop_
_atom_site_label
_atom_site_type_symbol
_atom_site_fract_x
_atom_site_fract_y
_atom_site_fract_z
Be1 Be 0.000 0.000 0.000
Cr1 Cr 0.000 0.000 0.500
N1 N 0.234 0.250 0.125
```

* energy relative to the elements, uncorrected: -598 meV per atom
* DFT total energy: -8.098 eV per atom
* total magnetic moment: 1.97 μB/f.u.

=====

A relaxed structure of PaGe3Pd, computed with PBE.

Cell and atoms, written as CIF:
```
data_PaGe3Pd
_space_group_name_H-M_alt 'P m n 21'
_space_group_IT_number 31
_cell_length_a 5.948
_cell_length_b 5.696
_cell_length_c 5.909
_cell_angle_alpha 90.00
_cell_angle_beta 90.00
_cell_angle_gamma 90.00
loop_
_space_group_symop_operation_xyz
'x,y,z'
'-x+1/2,-y,z+1/2'
'-x,y,z'
'x+1/2,-y,z+1/2'
loop_
_atom_site_label
_atom_site_type_symbol
_atom_site_fract_x
_atom_site_fract_y
_atom_site_fract_z
Pa1 Pa 0.000 0.133 0.000
Ge1 Ge 0.000 0.941 0.546
Ge2 Ge 0.239 0.315 0.434
Pd1 Pd 0.000 0.628 0.258
```

* DFT total energy: -6.088 eV per atom
* total magnetic moment: 0.00 μB/f.u.
* energy of formation: -380 meV per atom

=====

A relaxed structure of ZrP2RhCl, computed with PBE.

Cell and atoms, written as CIF:
```
data_ZrP2RhCl
_space_group_name_H-M_alt 'P 4/m m m'
_space_group_IT_number 123
_space_group_name_Hall '-P 4 2'
_cell_length_a 5.042
_cell_length_b 5.042
_cell_length_c 4.868
_cell_angle_alpha 90.00
_cell_angle_beta 90.00
_cell_angle_gamma 90.00
loop_
_atom_site_label
_atom_site_type_symbol
_atom_site_fract_x
_atom_site_fract_y
_atom_site_fract_z
Zr1 Zr 0.000 0.000 0.000
P1 P 0.000 0.500 0.000
Rh1 Rh 0.500 0.500 0.500
Cl1 Cl 0.000 0.000 0.500
```

* energy relative to the elements, uncorrected: 507 meV per atom
* DFT total energy: -5.206 eV per atom
* total magnetic moment: 1.63 μB/f.u.
* energy above the most stable polymorph in this dataset: 324 meV per atom